[1]
Below is a geometry-optimized Na2CuPtCl6 structure, with properties calculated at the GGA-PBE level. Values from VASP.

```
&SYSTEM
  ibrav = 0, nat = 20, ntyp = 4
/
ATOMIC_SPECIES
Cl 35.45 Cl.upf
Na 22.99 Na.upf
Pt 195.08 Pt.upf
Cu 63.55 Cu.upf
ATOMIC_POSITIONS angstrom
Cl -8.867 5.343 -0.331
Cl -10.364 8.439 -3.895
Cl -10.937 4.981 -2.911
Na -3.754 -0.289 -1.368
Pt 0.000 0.000 0.000
Cl -8.257 8.807 -1.268
Na -13.844 8.295 -3.318
Pt -8.799 4.003 -2.343
Cl -7.234 -0.433 -0.791
Na -5.842 7.121 -0.733
Cl -6.131 0.148 -3.941
Cl -6.661 3.025 -1.775
Na -11.756 0.885 -3.953
Cl -8.730 2.663 -4.355
Cu -9.624 6.932 -2.092
Cl -7.784 5.913 -3.425
Cl -11.467 7.858 -0.745
Cl -9.341 -0.802 -3.418
Cu -7.973 1.073 -2.594
Cl -9.814 2.093 -1.261
CELL_PARAMETERS angstrom
-4.262 -0.746 -5.315
-6.493 -1.920 1.058
-6.843 10.672 -0.429
```

E_form (uncorrected) in eV per atom: -0.860
Spin magnetization in μB per cell: 0.67

[2]
Below is a geometry-optimized NaCuPtCl6 structure, with properties calculated at the GGA-PBE level. Values from VASP.

```
&SYSTEM
  ibrav = 0, nat = 18, ntyp = 4
/
ATOMIC_SPECIES
Na 22.99 Na.upf
Cl 35.45 Cl.upf
Pt 195.08 Pt.upf
Cu 63.55 Cu.upf
ATOMIC_POSITIONS angstrom
Na 4.644 -7.446 2.282
Cl 6.398 -7.587 0.197
Cl 0.207 -6.490 2.137
Pt 4.623 -7.673 -1.406
Cl -1.379 -3.824 3.825
Cl 2.866 -7.559 0.216
Cl 4.675 -5.280 -1.441
Cu 0.000 0.000 0.000
Cl 6.261 -7.946 -3.129
Cl 1.917 -4.159 3.827
Pt 0.259 -4.098 2.102
Cl -1.516 -4.183 0.498
Cl 0.310 -1.719 1.843
Na 0.238 -4.324 -1.587
Cl 2.016 -4.211 0.480
Cl 2.965 -7.611 -3.131
Cu 4.385 -3.348 0.181
Cl 4.572 -10.051 -1.147
CELL_PARAMETERS angstrom
-1.912 -2.197 5.700
-1.976 -2.877 -5.366
8.770 -6.696 0.361
```

E_form (uncorrected) in eV per atom: -0.698
Spin magnetization in μB per cell: 0.00

[3]
Below is a geometry-optimized NaPuCu2Cl8 structure, with properties calculated at the GGA-PBE level. Values from VASP.

```
&SYSTEM
  ibrav = 0, nat = 12, ntyp = 4
/
ATOMIC_SPECIES
Cl 35.45 Cl.upf
Cu 63.55 Cu.upf
Na 22.99 Na.upf
Pu 244.00 Pu.upf
ATOMIC_POSITIONS angstrom
Cl 3.613 2.024 4.248
Cu 3.713 0.055 3.125
Cl -0.296 1.880 5.007
Na 0.000 0.000 0.000
Cl 0.296 -1.880 5.007
Cl 0.300 2.839 1.243
Pu -1.597 3.352 3.125
Cl 1.904 -0.728 2.002
Cl 3.813 -1.913 4.248
Cl 5.521 0.839 2.002
Cu 2.116 3.408 0.000
Cl 3.932 3.976 1.243
CELL_PARAMETERS angstrom
7.426 0.111 0.000
-3.194 6.705 0.000
-2.116 -3.408 6.250
```

E_form (uncorrected) in eV per atom: -1.150
Spin magnetization in μB per cell: 2.96

[4]
Below is a geometry-optimized NaPuCuCl5 structure, with properties calculated at the GGA-PBE level. Values from VASP.

```
&SYSTEM
  ibrav = 0, nat = 16, ntyp = 4
/
ATOMIC_SPECIES
Cl 35.45 Cl.upf
Pu 244.00 Pu.upf
Cu 63.55 Cu.upf
Na 22.99 Na.upf
ATOMIC_POSITIONS angstrom
Cl -1.751 3.327 4.207
Cl -0.061 5.094 1.161
Pu -0.311 4.718 -1.533
Cl -5.533 6.050 1.224
Pu 0.000 0.000 0.000
Cl 2.245 5.844 4.000
Cl -1.121 0.216 2.481
Cl 2.465 8.090 0.896
Cl 3.721 2.371 4.144
Cu 1.095 6.820 2.252
Cl -4.277 0.331 4.472
Cl -4.057 2.577 1.368
Cu -2.907 1.601 3.116
Na -2.581 6.393 1.682
Cl -0.691 8.205 2.887
Na 0.769 2.028 3.686
CELL_PARAMETERS angstrom
-6.251 -1.165 3.340
5.061 0.150 5.094
-0.622 9.437 -3.066
```

E_form (uncorrected) in eV per atom: -1.486
Spin magnetization in μB per cell: 10.00

[5]
Below is a geometry-optimized Rb2NaCuCl5 structure, with properties calculated at the GGA-PBE level. Values from VASP.

```
&SYSTEM
  ibrav = 0, nat = 18, ntyp = 4
/
ATOMIC_SPECIES
Cl 35.45 Cl.upf
Rb 85.47 Rb.upf
Cu 63.55 Cu.upf
Na 22.99 Na.upf
ATOMIC_POSITIONS angstrom
Cl -2.748 -6.249 3.876
Rb 3.229 -6.484 2.982
Cl -5.823 -8.879 7.133
Cl 4.832 -3.695 2.841
Cu 2.367 -7.193 6.864
Cl 1.704 -9.292 6.126
Cl -7.310 -6.379 4.874
Rb -2.583 -10.482 8.149
Na -1.028 -7.883 5.211
Cl -8.373 -6.659 8.357
Cl -1.779 -7.333 7.792
Cl 0.985 -4.586 1.478
Na 2.594 -2.417 1.966
Cu -7.753 -7.878 6.481
Rb -1.117 -3.432 3.700
Rb -4.370 -5.674 6.597
Cl 4.490 -6.930 6.194
Cl 1.026 -5.787 5.689
CELL_PARAMETERS angstrom
-0.549 -2.946 -2.897
7.372 -3.748 5.411
-9.080 -6.230 8.055
```

E_form (uncorrected) in eV per atom: -1.397
Spin magnetization in μB per cell: 2.27

[6]
Below is a geometry-optimized RbNaCu2Cl5 structure, with properties calculated at the GGA-PBE level. Values from VASP.

```
&SYSTEM
  ibrav = 0, nat = 9, ntyp = 4
/
ATOMIC_SPECIES
Na 22.99 Na.upf
Cl 35.45 Cl.upf
Rb 85.47 Rb.upf
Cu 63.55 Cu.upf
ATOMIC_POSITIONS angstrom
Na 0.000 0.000 0.000
Cl 2.202 -1.684 1.118
Rb 0.408 -1.720 4.390
Cl 2.701 -3.787 6.486
Cu 1.079 -3.769 0.815
Cl 1.296 -4.682 3.146
Cu 1.513 -5.596 5.478
Cl -0.498 -4.718 6.419
Cl -0.997 -2.615 1.050
CELL_PARAMETERS angstrom
-2.312 -3.893 -1.311
4.088 -2.031 -1.176
0.816 -3.440 8.779
```

E_form (uncorrected) in eV per atom: -1.109
Spin magnetization in μB per cell: 0.00

[7]
Below is a geometry-optimized Rb3NaCu2Cl8 structure, with properties calculated at the GGA-PBE level. Values from VASP.

```
&SYSTEM
  ibrav = 0, nat = 14, ntyp = 4
/
ATOMIC_SPECIES
Rb 85.47 Rb.upf
Cu 63.55 Cu.upf
Cl 35.45 Cl.upf
Na 22.99 Na.upf
ATOMIC_POSITIONS angstrom
Rb 3.605 2.081 3.501
Cu 3.605 2.081 7.482
Cl 0.000 4.162 9.102
Cl -1.770 5.184 2.931
Cl 1.834 1.059 6.459
Cl 3.604 4.125 6.459
Rb 0.000 4.162 5.888
Na 0.000 0.000 4.695
Cl 3.605 2.081 0.287
Cl 0.000 2.118 2.931
Cl 1.770 5.184 2.931
Cu 0.000 4.162 1.908
Cl 5.375 1.059 6.459
Rb 0.000 0.000 0.000
CELL_PARAMETERS angstrom
7.209 0.000 0.000
-3.605 6.243 0.000
0.000 0.000 9.390
```

E_form (uncorrected) in eV per atom: -1.283
Spin magnetization in μB per cell: 2.05

[8]
Below is a geometry-optimized Rb2NaCuCl4 structure, with properties calculated at the GGA-PBE level. Values from VASP.

```
&SYSTEM
  ibrav = 0, nat = 16, ntyp = 4
/
ATOMIC_SPECIES
Cl 35.45 Cl.upf
Na 22.99 Na.upf
Rb 85.47 Rb.upf
Cu 63.55 Cu.upf
ATOMIC_POSITIONS angstrom
Cl 0.000 0.000 0.000
Na 2.124 5.034 3.948
Cl 2.124 4.089 13.652
Rb 2.124 2.210 0.652
Cu 2.124 5.774 11.843
Cl 0.000 4.536 5.757
Cl 0.000 6.697 11.843
Rb 2.124 2.210 7.244
Cl 0.000 0.000 7.895
Na 0.000 3.591 11.843
Cl 2.124 4.089 10.033
Cu 0.000 2.850 3.948
Rb 0.000 6.414 8.547
Cl 0.000 4.536 2.138
Cl 2.124 1.928 3.948
Rb 0.000 6.414 15.139
CELL_PARAMETERS angstrom
4.248 0.000 0.000
-2.124 8.625 0.000
0.000 0.000 15.790
```

E_form (uncorrected) in eV per atom: -1.453
Spin magnetization in μB per cell: 0.03

[9]
Below is a geometry-optimized Rb3NaCu2Cl6 structure, with properties calculated at the GGA-PBE level. Values from VASP.

```
&SYSTEM
  ibrav = 0, nat = 12, ntyp = 4
/
ATOMIC_SPECIES
Cl 35.45 Cl.upf
Cu 63.55 Cu.upf
Na 22.99 Na.upf
Rb 85.47 Rb.upf
ATOMIC_POSITIONS angstrom
Cl -1.916 5.462 2.451
Cl 1.856 1.072 6.060
Cu 0.000 4.356 2.311
Cl 3.772 4.390 6.060
Na 0.000 0.000 4.256
Rb 0.000 4.356 5.683
Rb 3.772 2.178 2.829
Rb 0.000 0.000 0.000
Cu 3.772 2.178 6.201
Cl 5.688 1.072 6.060
Cl 0.000 2.143 2.451
Cl 1.916 5.462 2.451
CELL_PARAMETERS angstrom
7.544 0.000 0.000
-3.772 6.533 0.000
0.000 0.000 8.512
```

E_form (uncorrected) in eV per atom: -1.365
Spin magnetization in μB per cell: 0.16

[10]
Below is a geometry-optimized RbNaCuCl4 structure, with properties calculated at the GGA-PBE level. Values from VASP.

```
&SYSTEM
  ibrav = 0, nat = 14, ntyp = 4
/
ATOMIC_SPECIES
Cl 35.45 Cl.upf
Na 22.99 Na.upf
Rb 85.47 Rb.upf
Cu 63.55 Cu.upf
ATOMIC_POSITIONS angstrom
Cl 2.689 1.713 3.617
Na 0.108 1.713 4.667
Cl 6.183 3.447 2.384
Rb 2.604 5.138 7.862
Cl 6.183 6.828 2.384
Cl 2.506 5.138 1.344
Cl -1.903 3.403 6.028
Cl 1.591 5.138 4.794
Na 4.172 5.138 3.744
Cu 3.597 1.713 5.668
Rb 1.677 1.713 0.550
Cl -1.903 0.022 6.028
Cl 1.775 1.713 7.067
Cu 0.683 5.138 2.744
CELL_PARAMETERS angstrom
6.941 0.000 0.049
0.000 6.850 0.000
-2.661 0.000 8.363
```

E_form (uncorrected) in eV per atom: -1.255
Spin magnetization in μB per cell: 2.06

[11]
Below is a geometry-optimized RbNa3Cu4Cl12 structure, with properties calculated at the GGA-PBE level. Values from VASP.

```
&SYSTEM
  ibrav = 0, nat = 20, ntyp = 4
/
ATOMIC_SPECIES
Cl 35.45 Cl.upf
Cu 63.55 Cu.upf
Na 22.99 Na.upf
Rb 85.47 Rb.upf
ATOMIC_POSITIONS angstrom
Cl 2.363 1.262 5.464
Cu -2.293 1.865 7.651
Cl 0.656 4.357 4.198
Cl 5.447 -1.475 5.388
Cu 2.363 7.819 0.744
Na -2.035 3.674 3.636
Cl -2.084 6.500 4.198
Na 4.056 3.794 0.121
Cl -2.744 3.544 6.387
Rb 0.000 0.000 0.000
Cl 0.625 7.852 2.008
Cu 2.363 3.022 4.198
Cl 7.470 1.111 3.007
Na 2.705 -1.425 4.638
Cl 4.070 3.445 2.931
Cu 7.020 -0.620 4.198
Cl 2.363 -1.561 7.496
Cl 6.810 4.126 0.899
Cl -0.721 0.465 8.084
Cl 4.101 6.631 0.312
CELL_PARAMETERS angstrom
8.796 0.087 0.121
-2.035 8.558 0.121
-2.035 -2.602 8.154
```

E_form (uncorrected) in eV per atom: -0.967
Spin magnetization in μB per cell: 4.21

[12]
Below is a geometry-optimized Rb4NaCu3Cl12 structure, with properties calculated at the GGA-PBE level. Values from VASP.

```
&SYSTEM
  ibrav = 0, nat = 20, ntyp = 4
/
ATOMIC_SPECIES
Rb 85.47 Rb.upf
Cl 35.45 Cl.upf
Cu 63.55 Cu.upf
Na 22.99 Na.upf
ATOMIC_POSITIONS angstrom
Rb 4.347 0.000 0.000
Cl -1.449 4.098 3.549
Cl 4.208 -2.976 5.154
Cl 1.449 5.123 1.775
Rb -1.449 -2.049 3.549
Cl -1.449 1.025 5.324
Cu 2.898 4.098 0.000
Na 0.000 0.000 0.000
Cl 4.347 0.000 3.549
Cu 2.898 -2.049 3.549
Cl -1.587 1.122 1.944
Cl 4.208 5.951 0.000
Cl 4.347 3.074 1.775
Rb 1.449 2.049 3.549
Cl 1.449 -1.025 5.324
Cl 1.587 2.245 0.000
Cu -2.898 2.049 3.549
Cl 1.587 -1.122 1.944
Rb -1.449 4.098 0.000
Cl -4.208 2.976 5.154
CELL_PARAMETERS angstrom
8.693 0.000 0.000
-2.898 8.196 0.000
-2.898 -4.098 7.098
```

E_form (uncorrected) in eV per atom: -1.193
Spin magnetization in μB per cell: 0.00

[13]
Below is a geometry-optimized NaCuRhCl6 structure, with properties calculated at the GGA-PBE level. Values from VASP.

```
&SYSTEM
  ibrav = 0, nat = 18, ntyp = 4
/
ATOMIC_SPECIES
Cu 63.55 Cu.upf
Na 22.99 Na.upf
Rh 102.91 Rh.upf
Cl 35.45 Cl.upf
ATOMIC_POSITIONS angstrom
Cu 0.000 3.618 9.256
Na 0.000 0.000 6.171
Cu 3.133 1.809 3.085
Rh 0.000 3.618 3.085
Cl 1.194 1.940 10.595
Cl 3.989 0.064 10.595
Cl 1.939 3.487 1.747
Cl 2.277 0.064 7.917
Cl 0.856 5.362 4.424
Rh 3.133 1.809 9.256
Cl 1.083 2.004 4.424
Na 0.000 0.000 0.000
Cl -1.083 2.004 1.747
Cl 4.216 3.423 10.595
Cl 5.072 1.940 7.917
Cl 2.050 3.423 7.917
Cl -0.856 5.362 1.747
Cl -1.939 3.487 4.424
CELL_PARAMETERS angstrom
6.266 0.000 0.000
-3.133 5.426 0.000
0.000 0.000 12.342
```

E_form (uncorrected) in eV per atom: -0.804
Spin magnetization in μB per cell: 2.11

[14]
Below is a geometry-optimized NaCuRuCl6 structure, with properties calculated at the GGA-PBE level. Values from VASP.

```
&SYSTEM
  ibrav = 0, nat = 9, ntyp = 4
/
ATOMIC_SPECIES
Cl 35.45 Cl.upf
Ru 101.07 Ru.upf
Cu 63.55 Cu.upf
Na 22.99 Na.upf
ATOMIC_POSITIONS angstrom
Cl -4.296 -0.229 -2.465
Ru -3.534 -2.429 -2.072
Cl -4.886 -3.271 -3.815
Cl -1.785 -1.853 -3.551
Cu -4.119 -5.619 -3.720
Cl -2.742 -4.648 -1.910
Na -6.041 -1.966 -6.095
Cl -2.247 -1.773 -0.204
Cl -5.244 -2.801 -0.487
CELL_PARAMETERS angstrom
-0.144 -3.486 -5.245
-1.612 -6.083 0.303
-5.897 1.520 -0.849
```

E_form (uncorrected) in eV per atom: -0.782
Spin magnetization in μB per cell: 2.04

[15]
Below is a geometry-optimized NaCu2RuCl8 structure, with properties calculated at the GGA-PBE level. Values from VASP.

```
&SYSTEM
  ibrav = 0, nat = 12, ntyp = 4
/
ATOMIC_SPECIES
Na 22.99 Na.upf
Cl 35.45 Cl.upf
Cu 63.55 Cu.upf
Ru 101.07 Ru.upf
ATOMIC_POSITIONS angstrom
Na -0.023 0.807 3.918
Cl 3.156 5.347 5.286
Cu 2.437 4.587 3.242
Ru 0.000 0.000 0.000
Cl 2.362 2.345 3.786
Cl 5.267 2.293 5.976
Cl 3.582 4.808 1.312
Cl 0.284 6.580 7.637
Cl 5.235 1.111 1.434
Cl 1.937 2.883 7.760
Cl 0.251 5.399 3.096
Cu 3.081 3.104 5.829
CELL_PARAMETERS angstrom
6.157 -0.493 0.027
-0.593 6.571 1.208
-0.045 1.614 7.836
```

E_form (uncorrected) in eV per atom: -0.711
Spin magnetization in μB per cell: 3.08

[16]
Below is a geometry-optimized NaCuS2Cl structure, with properties calculated at the GGA-PBE level. Values from VASP.

```
&SYSTEM
  ibrav = 0, nat = 5, ntyp = 4
/
ATOMIC_SPECIES
S 32.06 S.upf
Cu 63.55 Cu.upf
Cl 35.45 Cl.upf
Na 22.99 Na.upf
ATOMIC_POSITIONS angstrom
S 0.000 2.188 0.000
S 2.188 0.000 0.000
Cu 0.000 0.000 0.000
Cl 0.000 0.000 3.014
Na 2.188 2.188 3.014
CELL_PARAMETERS angstrom
4.376 0.000 0.000
0.000 4.376 0.000
0.000 0.000 6.028
```

E_form (uncorrected) in eV per atom: -0.225
Spin magnetization in μB per cell: 0.77
ΔE to the lowest computed polymorph in eV/f.u.: 0.00

[17]
Below is a geometry-optimized NaCuS2Cl structure, with properties calculated at the GGA-PBE level. Values from VASP.

```
&SYSTEM
  ibrav = 0, nat = 5, ntyp = 4
/
ATOMIC_SPECIES
Cl 35.45 Cl.upf
Cu 63.55 Cu.upf
S 32.06 S.upf
Na 22.99 Na.upf
ATOMIC_POSITIONS angstrom
Cl -0.820 -2.224 0.828
Cu -3.235 -0.613 2.764
S -0.084 0.888 2.301
Na 0.000 0.000 0.000
S -2.331 0.723 -0.365
CELL_PARAMETERS angstrom
-0.169 1.775 4.601
-4.661 1.447 -0.729
-1.640 -4.448 1.656
```

E_form (uncorrected) in eV per atom: 0.792
Spin magnetization in μB per cell: 0.00
ΔE to the lowest computed polymorph in eV/f.u.: 5.09

[18]
Below is a geometry-optimized NaCu2SbCl6 structure, with properties calculated at the GGA-PBE level. Values from VASP.

```
&SYSTEM
  ibrav = 0, nat = 10, ntyp = 4
/
ATOMIC_SPECIES
Cu 63.55 Cu.upf
Cl 35.45 Cl.upf
Sb 121.76 Sb.upf
Na 22.99 Na.upf
ATOMIC_POSITIONS angstrom
Cu 0.064 0.039 4.865
Cl 2.251 -0.022 1.438
Cl 1.115 2.007 4.830
Cl -1.016 1.955 1.436
Cl -2.173 -0.031 4.831
Sb 0.049 3.935 6.397
Na 3.422 1.977 3.133
Cl -2.151 3.981 4.831
Cl 2.275 3.986 1.436
Cu 0.040 3.923 1.412
CELL_PARAMETERS angstrom
6.743 -0.003 -0.003
-3.374 5.852 0.007
-3.370 -1.939 6.522
```

E_form (uncorrected) in eV per atom: -0.858
Spin magnetization in μB per cell: 0.01

[19]
Below is a geometry-optimized NaCuSbCl6 structure, with properties calculated at the GGA-PBE level. Values from VASP.

```
&SYSTEM
  ibrav = 0, nat = 18, ntyp = 4
/
ATOMIC_SPECIES
Cl 35.45 Cl.upf
Cu 63.55 Cu.upf
Sb 121.76 Sb.upf
Na 22.99 Na.upf
ATOMIC_POSITIONS angstrom
Cl 6.516 2.801 4.222
Cu 0.335 4.105 2.710
Cl 0.546 5.493 4.742
Cl 2.556 3.129 3.178
Sb 5.411 7.280 4.431
Cl 7.724 6.087 5.026
Cl 0.069 2.847 0.601
Na 0.000 0.000 0.000
Na 5.075 3.176 1.720
Cl -0.662 2.208 3.938
Cl 5.636 2.399 7.560
Sb 1.651 1.014 4.534
Cl -1.922 5.057 2.398
Cu 6.726 4.190 6.254
Cl 1.426 5.896 1.404
Cl 6.993 5.447 8.363
Cl 8.984 3.238 6.566
Cl 4.506 5.166 5.787
CELL_PARAMETERS angstrom
-3.518 5.608 0.027
0.429 -3.664 5.497
10.150 6.351 3.441
```

E_form (uncorrected) in eV per atom: -0.895
Spin magnetization in μB per cell: 2.11